Record 1
A plane-wave DFT calculation with PBE was carried out for crystalline PuNpSbPd at its relaxed geometry.

## Properties
* mass density: 12.93 Mg/m³
* energy relative to the elements, uncorrected: -0.537 eV per formula unit
* magnetization: 45.531 μB per cell

Unit cell a=7.143 b=7.143 c=7.143 alpha=90.00 beta=90.00 gamma=90.00
Space group F-43m (No. 216)
Asymmetric unit:
Pu  0.000  0.000  0.000
Np  0.250  0.250  0.750
Sb  0.000  0.000  0.500
Pd  0.250  0.250  0.250

Record 2
A plane-wave DFT calculation with PBE was carried out for crystalline AcInCuSn at its relaxed geometry.

## Properties
* mass density: 8.22 Mg/m³
* energy relative to the elements: -0.15 eV/atom
* magnetization: 0.000 μB per cell

Unit cell a=7.510 b=7.510 c=7.510 alpha=90.00 beta=90.00 gamma=90.00
Space group F-43m (No. 216)
Asymmetric unit:
Ac  0.000  0.000  0.000
In  0.250  0.250  0.750
Cu  0.250  0.250  0.250
Sn  0.000  0.000  0.500

Record 3
A plane-wave DFT calculation with PBE was carried out for crystalline Mg2TeAs at its relaxed geometry.

## Properties
* mass density: 4.41 Mg/m³
* energy relative to the elements, uncorrected: -2.120 eV per formula unit
* magnetization: 0.000 μB per cell

Unit cell a=3.8947 b=3.8947 c=21.5871 alpha=90.00 beta=90.00 gamma=120.00
Space group R-3m (No. 166, hexagonal axes)
Asymmetric unit:
Mg  0.0000  0.0000  0.2390
Te  0.0000  0.0000  0.0000
As  0.0000  0.0000  0.5000

Record 4
A plane-wave DFT calculation with PBE was carried out for crystalline AgMo5 at its relaxed geometry.

## Properties
* mass density: 9.06 Mg/m³
* energy relative to the elements: 0.64 eV/atom
* magnetization: 0.000 μB per cell

Unit cell a=5.3111 b=5.3111 c=4.4075 alpha=90.00 beta=90.00 gamma=120.00
Space group P6/mmm (No. 191)
Asymmetric unit:
Ag  0.0000  0.0000  0.0000
Mo  0.0000  0.5000  0.5000
Mo  0.3333  0.6667  0.0000